# 1
A relaxed Y3Er4Sc4 crystal, computed with PBE.

Lattice parameters (Å, degrees): 3.451 4.828 19.165 97.23 95.16 90.00
Element x y z (fractional)
Sc  0.092  0.092  0.184
Y  0.000  0.000  0.000
Er  0.185  0.184  0.370
Sc  0.728  0.728  0.457
Er  0.547  0.547  0.095
Y  0.637  0.637  0.275
Sc  0.908  0.908  0.816
Er  0.453  0.453  0.905
Y  0.363  0.363  0.725
Sc  0.271  0.272  0.543
Er  0.815  0.816  0.630

Computed properties:
The calculation puts the offset from the most stable computed form at 0.0 meV per atom.

***

# 2
A relaxed Y6Er4Sc crystal, computed with PBE.

Lattice parameters (Å, degrees): 6.470 6.470 9.667 109.55 109.55 90.00
Element x y z (fractional)
Y  0.500  0.000  0.000
Y  0.142  0.142  0.655
Sc  0.500  0.500  0.000
Y  0.487  0.858  0.345
Er  0.689  0.048  0.737
Er  0.952  0.952  0.263
Er  0.048  0.689  0.737
Er  0.311  0.311  0.263
Y  0.513  0.513  0.655
Y  0.858  0.487  0.345
Y  0.000  0.500  0.000

Computed properties:
The calculation puts the offset from the most stable computed form at 156.0 meV per atom.

***

# 3
A relaxed Y12Er7Sc crystal, computed with PBE.

Lattice parameters (Å, degrees): 6.101 11.299 11.299 116.83 100.37 100.37
Element x y z (fractional)
Y  0.926  0.352  0.350
Er  0.887  0.241  0.999
Y  0.426  0.001  0.352
Y  0.914  0.415  0.829
Er  0.888  0.001  0.242
Y  0.575  0.650  0.001
Er  0.646  0.758  0.759
Y  0.499  0.414  0.585
Er  0.112  0.999  0.758
Er  0.500  0.000  0.000
Y  0.086  0.171  0.586
Er  0.354  0.242  0.241
Y  0.425  0.350  0.999
Y  0.574  0.999  0.648
Y  0.074  0.648  0.650
Y  0.914  0.829  0.414
Er  0.113  0.759  0.001
Sc  0.000  0.000  0.000
Y  0.086  0.585  0.171
Y  0.501  0.586  0.415

Computed properties:
The calculation puts the offset from the most stable computed form at 57.8 meV per atom.

***

# 4
A relaxed Y4Er3Sc4 crystal, computed with PBE.

Lattice parameters (Å, degrees): 3.406 5.431 17.492 81.05 84.40 89.99
Element x y z (fractional)
Sc  0.545  0.544  0.912
Er  0.000  0.000  0.000
Er  0.863  0.364  0.272
Sc  0.318  0.820  0.361
Y  0.409  0.910  0.181
Sc  0.682  0.181  0.639
Y  0.732  0.732  0.536
Y  0.268  0.268  0.464
Er  0.137  0.636  0.728
Y  0.591  0.090  0.819
Sc  0.455  0.456  0.088

***

# 5
A relaxed Y5Er4Sc crystal, computed with PBE.

Lattice parameters (Å, degrees): 5.747 7.987 7.987 82.56 68.91 68.91
Element x y z (fractional)
Y  0.774  0.374  0.000
Er  0.449  0.675  0.325
Er  0.773  0.675  0.675
Y  0.774  0.000  0.374
Er  0.449  0.325  0.675
Y  0.667  0.000  0.000
Y  0.148  0.000  0.626
Er  0.124  0.325  0.325
Sc  0.202  0.000  0.000
Y  0.148  0.626  0.000

Computed properties:
The calculation puts the offset from the most stable computed form at 244.0 meV per atom.

***

# 6
A relaxed Y4Er3Sc crystal, computed with PBE.

Lattice parameters (Å, degrees): 3.586 5.315 13.612 101.26 97.45 90.00
Element x y z (fractional)
Er  0.856  0.854  0.707
Er  0.500  0.000  0.000
Y  0.716  0.718  0.435
Y  0.284  0.282  0.565
Sc  0.000  0.500  0.000
Er  0.144  0.146  0.293
Y  0.594  0.596  0.191
Y  0.406  0.404  0.809

Computed properties:
The calculation puts the offset from the most stable computed form at 157.1 meV per atom.

***

# 7
A relaxed Y5Er3Sc crystal, computed with PBE.

Lattice parameters (Å, degrees): 8.455 8.455 9.894 115.29 115.29 90.00
Element x y z (fractional)
Er  0.250  0.250  0.500
Sc  0.750  0.250  0.500
Y  0.063  0.563  0.719
Y  0.437  0.345  0.281
Er  0.380  0.880  0.000
Y  0.655  0.155  0.719
Y  0.000  0.000  0.000
Y  0.845  0.937  0.281
Y  0.155  0.063  0.719
Er  0.750  0.750  0.500
Y  0.563  0.655  0.719
Er  0.620  0.120  0.000
Er  0.880  0.620  0.000
Er  0.120  0.380  0.000
Sc  0.250  0.750  0.500
Y  0.500  0.500  0.000
Y  0.345  0.845  0.281
Y  0.937  0.437  0.281

***

# 8
A relaxed Y3Er8Sc3 crystal, computed with PBE.

Lattice parameters (Å, degrees): 5.399 11.479 8.754 54.77 72.04 76.40
Element x y z (fractional)
Er  0.619  0.682  0.081
Er  0.381  0.318  0.919
Y  0.967  0.745  0.321
Y  0.033  0.255  0.679
Er  0.740  0.904  0.616
Er  0.176  0.490  0.158
Er  0.260  0.096  0.384
Er  0.332  0.733  0.602
Er  0.824  0.510  0.842
Sc  0.500  0.500  0.500
Er  0.668  0.267  0.398
Sc  0.130  0.882  0.857
Sc  0.870  0.118  0.143
Y  0.500  0.000  0.000

***

# 9
A relaxed Y6Er4Sc crystal, computed with PBE.

Lattice parameters (Å, degrees): 5.590 5.557 25.527 90.00 90.00 120.20
Element x y z (fractional)
Y  0.506  0.012  0.750
Sc  0.172  0.345  0.750
Er  0.164  0.328  0.457
Y  0.500  0.000  0.500
Y  0.500  0.000  0.000
Y  0.494  0.988  0.250
Y  0.173  0.347  0.894
Y  0.840  0.680  0.682
Y  0.840  0.680  0.818
Er  0.508  0.017  0.621
Er  0.492  0.983  0.121
Y  0.160  0.320  0.318
Sc  0.828  0.655  0.250
Er  0.508  0.017  0.879
Er  0.836  0.672  0.957
Y  0.173  0.347  0.606
Er  0.164  0.328  0.043
Y  0.827  0.653  0.394
Er  0.836  0.672  0.543
Er  0.492  0.983  0.379
Y  0.160  0.320  0.182
Y  0.827  0.653  0.106

Computed properties:
The calculation puts the offset from the most stable computed form at 0.0 meV per atom.

***

# 10
A relaxed Y3Er2Sc2 crystal, computed with PBE.

Lattice parameters (Å, degrees): 3.430 5.203 11.875 77.34 89.99 90.00
Element x y z (fractional)
Y  0.500  0.576  0.848
Er  0.500  0.715  0.570
Er  0.500  0.285  0.430
Sc  0.000  0.847  0.306
Y  0.000  0.000  0.000
Y  0.500  0.424  0.152
Sc  0.000  0.153  0.694

Computed properties:
The calculation puts the offset from the most stable computed form at 0.0 meV per atom.

***

# 11
A relaxed Y2Er4Sc3 crystal, computed with PBE.

Lattice parameters (Å, degrees): 6.670 9.437 9.437 60.02 89.98 89.98
Element x y z (fractional)
Er  0.500  0.855  0.187
Sc  0.750  0.835  0.836
Er  0.999  0.142  0.545
Er  0.000  0.813  0.145
Y  0.000  0.545  0.811
Y  0.000  0.455  0.189
Er  0.001  0.858  0.455
Sc  0.250  0.165  0.164
Sc  0.250  0.836  0.835
Y  0.500  0.811  0.545
Y  0.500  0.189  0.455
Er  0.000  0.187  0.855
Er  0.500  0.145  0.813
Sc  0.750  0.164  0.165
Er  0.499  0.545  0.142
Sc  0.250  0.500  0.500
Sc  0.750  0.500  0.500
Er  0.501  0.455  0.858

Computed properties:
The calculation puts the offset from the most stable computed form at 0.0 meV per atom.

***

# 12
A relaxed YEr5Sc5 crystal, computed with PBE.

Lattice parameters (Å, degrees): 5.768 5.768 11.179 90.00 90.00 120.00
Last column: magnetic moment on the atom in μB.
Element x y z (fractional)
Er  0.667  0.333  0.838  0.09
Sc  0.835  0.165  0.500  0.13
Sc  0.835  0.670  0.500  0.13
Er  0.333  0.667  0.320  0.24
Sc  0.330  0.165  0.500  0.13
Sc  0.000  0.000  0.731  0.29
Er  0.000  0.000  0.000  0.00
Y  0.333  0.667  0.000  0.02
Er  0.333  0.667  0.680  0.24
Er  0.667  0.333  0.162  0.09
Sc  0.000  0.000  0.269  0.29

***

# 13
A relaxed Y15Er2Sc2 crystal, computed with PBE.

Lattice parameters (Å, degrees): 8.693 8.693 8.693 79.13 79.13 79.13
Element x y z (fractional)
Er  0.317  0.317  0.317
Y  0.370  0.370  0.853
Y  0.295  0.705  0.000
Er  0.683  0.683  0.683
Sc  0.090  0.090  0.090
Y  0.000  0.295  0.705
Y  0.295  0.000  0.705
Y  0.370  0.853  0.370
Y  0.630  0.630  0.147
Y  0.500  0.000  0.000
Y  0.705  0.000  0.295
Y  0.705  0.295  0.000
Sc  0.910  0.910  0.910
Y  0.000  0.000  0.500
Y  0.853  0.370  0.370
Y  0.000  0.500  0.000
Y  0.147  0.630  0.630
Y  0.630  0.147  0.630
Y  0.000  0.705  0.295

***

# 14
A relaxed Y3Er3Sc2 crystal, computed with PBE.

Lattice parameters (Å, degrees): 6.293 6.293 6.293 89.87 89.87 90.13
Last column: magnetic moment on the atom in μB.
Element x y z (fractional)
Sc  0.249  0.249  0.751  0.70
Y  0.752  0.500  0.752  0.41
Er  0.000  0.250  0.250  0.57
Sc  0.751  0.751  0.249  0.70
Er  0.750  0.000  0.750  0.57
Y  0.248  0.752  0.500  0.41
Y  0.500  0.248  0.248  0.41
Er  0.250  0.750  0.000  0.57

***

# 15
A relaxed YEr5Sc crystal, computed with PBE.

Lattice parameters (Å, degrees): 5.950 8.017 7.560 122.02 113.18 90.00
Element x y z (fractional)
Er  0.178  0.248  0.497
Er  0.681  0.752  0.503
Sc  0.931  0.000  0.000
Er  0.178  0.500  0.000
Er  0.430  0.176  0.000
Er  0.430  0.824  0.000
Y  0.702  0.500  0.000

Computed properties:
The calculation puts the offset from the most stable computed form at 837.5 meV per atom.

***

# 16
A relaxed Y3Er4Sc4 crystal, computed with PBE.

Lattice parameters (Å, degrees): 5.453 6.478 10.044 90.00 90.00 114.89
Element x y z (fractional)
Sc  0.759  0.519  0.209
Sc  0.950  0.901  0.000
Y  0.255  0.509  0.000
Y  0.400  0.800  0.307
Er  0.098  0.196  0.714
Sc  0.893  0.787  0.500
Er  0.635  0.270  0.500
Er  0.550  0.101  0.000
Sc  0.759  0.519  0.791
Y  0.400  0.800  0.693
Er  0.098  0.196  0.286

Computed properties:
The calculation puts the offset from the most stable computed form at 86.7 meV per atom.

***

# 17
A relaxed Y2Er3Sc7 crystal, computed with PBE.

Lattice parameters (Å, degrees): 17.933 17.933 3.477 90.00 90.00 162.81
Element x y z (fractional)
Sc  0.086  0.914  0.500
Sc  0.571  0.429  0.000
Y  0.646  0.354  0.500
Er  0.500  0.500  0.500
Sc  0.000  0.000  0.000
Er  0.814  0.186  0.000
Er  0.186  0.814  0.000
Sc  0.429  0.571  0.000
Sc  0.731  0.269  0.500
Sc  0.914  0.086  0.500
Y  0.354  0.646  0.500
Sc  0.269  0.731  0.500

***

# 18
A relaxed Y7Er4Sc crystal, computed with PBE.

Lattice parameters (Å, degrees): 5.903 9.084 9.917 75.91 91.82 49.52
Element x y z (fractional)
Y  0.451  0.284  0.429
Y  0.500  0.000  0.000
Y  0.707  0.539  0.921
Er  0.101  0.135  0.269
Y  0.293  0.461  0.079
Er  0.359  0.404  0.731
Y  0.059  0.188  0.627
Er  0.641  0.596  0.269
Y  0.941  0.812  0.373
Y  0.549  0.716  0.571
Er  0.899  0.865  0.731
Sc  0.000  0.000  0.000

***

# 19
A relaxed Y5Er6Sc2 crystal, computed with PBE.

Lattice parameters (Å, degrees): 3.537 11.222 20.023 90.00 90.00 90.00
Element x y z (fractional)
Sc  0.000  0.117  0.786
Y  0.500  0.563  0.578
Er  0.000  0.334  0.883
Sc  0.000  0.883  0.214
Y  0.500  0.937  0.078
Sc  0.000  0.383  0.286
Er  0.500  0.081  0.655
Er  0.000  0.720  0.445
Er  0.000  0.166  0.383
Er  0.000  0.834  0.617
Er  0.000  0.280  0.555
Y  0.500  0.357  0.720
Y  0.500  0.437  0.422
Y  0.500  0.500  0.000
Y  0.500  0.143  0.220
Er  0.000  0.220  0.055
Y  0.500  0.857  0.780
Sc  0.000  0.617  0.714
Er  0.500  0.581  0.845
Er  0.000  0.780  0.945
Er  0.000  0.666  0.117
Y  0.500  0.643  0.280
Y  0.500  0.063  0.922
Er  0.500  0.419  0.155
Er  0.500  0.919  0.345
Y  0.500  0.000  0.500

***

Number 1: spin magnetization 0.0 μB/cell, formation energy 0.055 eV/atom, density of states at the Fermi level 16.85 states/eV per cell. Number 2: spin magnetization 0.0 μB/cell, formation energy 0.290 eV/atom, density of states at the Fermi level 14.09 states/eV per cell. Number 3: spin magnetization 0.0 μB/cell, formation energy 0.233 eV/atom, density of states at the Fermi level 29.26 states/eV per cell. Number 4: spin magnetization 0.0 μB/cell, formation energy 0.079 eV/atom, density of states at the Fermi level 23.60 states/eV per cell. Number 5: spin magnetization 0.0 μB/cell, formation energy 0.254 eV/atom, density of states at the Fermi level 13.55 states/eV per cell. Number 6: spin magnetization 0.0 μB/cell, formation energy 0.169 eV/atom, density of states at the Fermi level 13.18 states/eV per cell. Number 7: spin magnetization 0.0 μB/cell, formation energy 0.300 eV/atom, density of states at the Fermi level 27.05 states/eV per cell. Number 8: spin magnetization 0.0 μB/cell, formation energy 0.122 eV/atom, density of states at the Fermi level 25.69 states/eV per cell. Number 9: spin magnetization 0.0 μB/cell, formation energy 0.134 eV/atom, density of states at the Fermi level 39.73 states/eV per cell. Number 10: spin magnetization 0.0 μB/cell, formation energy 0.077 eV/atom, density of states at the Fermi level 12.96 states/eV per cell. Number 11: spin magnetization 0.0 μB/cell, formation energy 0.064 eV/atom, density of states at the Fermi level 20.86 states/eV per cell. Number 12: spin magnetization 2.5 μB/cell, formation energy 0.243 eV/atom, density of states at the Fermi level 22.34 states/eV per cell. Number 13: spin magnetization 0.0 μB/cell, formation energy 0.310 eV/atom, density of states at the Fermi level 35.78 states/eV per cell. Number 14: spin magnetization 7.2 μB/cell, formation energy 0.241 eV/atom, density of states at the Fermi level 12.32 states/eV per cell. Number 15: spin magnetization 0.0 μB/cell, formation energy 1.002 eV/atom, density of states at the Fermi level 9.09 states/eV per cell. Number 16: spin magnetization 0.0 μB/cell, formation energy 0.142 eV/atom, density of states at the Fermi level 20.18 states/eV per cell. Number 17: spin magnetization 0.0 μB/cell, formation energy 0.143 eV/atom, density of states at the Fermi level 21.28 states/eV per cell. Number 18: spin magnetization 0.0 μB/cell, formation energy 0.141 eV/atom, density of states at the Fermi level 23.70 states/eV per cell. Number 19: spin magnetization 0.0 μB/cell, formation energy 0.048 eV/atom, density of states at the Fermi level 40.68 states/eV per cell.